Record 1
Cs6TeI2O: relaxed, PBE.

abc: 8.720 12.976 10.237
angles: 90.00 90.00 90.00
Sites, in units of the cell vectors:
1 Cs 0.009 0.250 0.118
2 Cs 0.020 0.750 0.474
3 Cs 0.250 0.524 0.705
4 Cs 0.250 0.976 0.705
5 Cs 0.480 0.750 0.474
6 Cs 0.491 0.250 0.118
7 Cs 0.509 0.750 0.882
8 Cs 0.520 0.250 0.526
9 Cs 0.750 0.024 0.295
10 Cs 0.750 0.476 0.295
11 Cs 0.980 0.250 0.526
12 Cs 0.991 0.750 0.882
13 Te 0.250 0.250 0.815
14 Te 0.750 0.750 0.185
15 I 0.250 0.043 0.336
16 I 0.250 0.457 0.336
17 I 0.750 0.543 0.664
18 I 0.750 0.957 0.664
19 O 0.250 0.750 0.705
20 O 0.750 0.250 0.295

Total moment (Bohr magnetons per cell): 0.001
Energy relative to the elements, uncorrected (eV/atom): -1.16



Record 2
CsTiI2O8: relaxed, PBE.

abc: 5.747 5.747 8.369
angles: 116.94 116.94 69.81
Sites, in units of the cell vectors:
1 Cs 0.000 0.000 0.000
2 Ti 0.500 0.500 0.500
3 I 0.201 0.201 0.655
4 I 0.799 0.799 0.345
5 O 0.062 0.062 0.390
6 O 0.125 0.525 0.337
7 O 0.412 0.412 0.680
8 O 0.475 0.875 0.663
9 O 0.525 0.125 0.337
10 O 0.588 0.588 0.320
11 O 0.875 0.475 0.663
12 O 0.938 0.938 0.610

Total moment (Bohr magnetons per cell): 0.000
Energy relative to the elements, uncorrected (eV/atom): -1.05
Fermi-level density of states (states/eV/cell): 4.71



Record 3
Cs2TiI6O: relaxed, PBE.

abc: 8.469 8.469 8.469
angles: 123.64 123.64 83.81
Sites, in units of the cell vectors:
1 Cs 0.250 0.750 0.500
2 Cs 0.750 0.250 0.500
3 Ti 0.000 0.000 0.000
4 I 0.220 0.220 0.000
5 I 0.246 0.246 0.493
6 I 0.246 0.754 0.000
7 I 0.754 0.246 0.000
8 I 0.754 0.754 0.507
9 I 0.780 0.780 0.000
10 O 0.500 0.500 0.000

Total moment (Bohr magnetons per cell): 2.000
Energy relative to the elements, uncorrected (eV/atom): -0.76
Fermi-level density of states (states/eV/cell): 0.00



Record 4
CsTiIO2: relaxed, PBE.

abc: 4.391 4.391 5.552
angles: 90.00 90.00 90.00
Sites, in units of the cell vectors:
1 Cs 0.000 0.000 0.000
2 Ti 0.500 0.500 0.500
3 I 0.500 0.500 0.000
4 O 0.000 0.500 0.500
5 O 0.500 0.000 0.500

Total moment (Bohr magnetons per cell): 0.000
Energy relative to the elements, uncorrected (eV/atom): -1.20
Fermi-level density of states (states/eV/cell): 0.55



Record 5
Cs2TlIO: relaxed, PBE.

abc: 6.248 6.248 5.141
angles: 90.00 90.00 90.00
Sites, in units of the cell vectors:
1 Cs 0.000 0.500 0.000
2 Cs 0.500 0.000 0.000
3 Tl 0.000 0.000 0.500
4 I 0.500 0.500 0.500
5 O 0.000 0.000 0.000

Total moment (Bohr magnetons per cell): 0.000
Energy relative to the elements, uncorrected (eV/atom): -0.98
Fermi-level density of states (states/eV/cell): 1.58



Record 6
CsTlIO2: relaxed, PBE.

abc: 4.734 4.734 7.753
angles: 90.00 90.00 90.00
Sites, in units of the cell vectors:
1 Cs 0.000 0.000 0.000
2 Tl 0.500 0.500 0.500
3 I 0.000 0.000 0.500
4 O 0.000 0.500 0.000
5 O 0.500 0.000 0.000

Total moment (Bohr magnetons per cell): 1.152
Energy relative to the elements, uncorrected (eV/atom): 0.14
Offset from the most stable computed form (eV/atom): 0.440
Fermi-level density of states (states/eV/cell): 3.61



Record 7
CsTlIO2: relaxed, PBE.

abc: 4.839 4.839 6.139
angles: 90.00 90.00 90.00
Sites, in units of the cell vectors:
1 Cs 0.000 0.000 0.000
2 Tl 0.500 0.500 0.500
3 I 0.500 0.500 0.000
4 O 0.000 0.500 0.500
5 O 0.500 0.000 0.500

Total moment (Bohr magnetons per cell): 1.196
Energy relative to the elements, uncorrected (eV/atom): -0.30
Offset from the most stable computed form (eV/atom): 0.000
Fermi-level density of states (states/eV/cell): 3.47



Record 8
CsTlI2O: relaxed, PBE.

abc: 7.254 7.254 4.421
angles: 90.00 90.00 90.00
Sites, in units of the cell vectors:
1 Cs 0.000 0.000 0.000
2 Tl 0.500 0.500 0.500
3 I 0.000 0.500 0.000
4 I 0.500 0.000 0.000
5 O 0.000 0.000 0.500

Total moment (Bohr magnetons per cell): 0.805
Energy relative to the elements, uncorrected (eV/atom): -0.15
Offset from the most stable computed form (eV/atom): 0.549
Fermi-level density of states (states/eV/cell): 6.07



> energy relative to the elements, uncorrected of number 1 (Cs6TeI2O)?

-1.16 eV/atom



> What is the formula in the seventh record?

CsTlIO2



> The highest energy relative to the elements, uncorrected belongs to which entry?

number 6



> The highest energy relative to the elements, uncorrected belongs to which entry?

number 6